Entry from the Alexandria database: a relaxed LiMnP2S crystal (PBE).

* excess energy over the best structure of this formula in the dataset: 1054 meV per atom
* calculated total energy: -4.072 eV/atom
* energy relative to the elements, uncorrected: 1.134 eV per atom

Cell: 4.142 4.142 4.298 Å, 90.00 90.00 90.00°
Atoms (fractional coordinates):
Li (0.000, 0.000, 0.000)
Mn (0.500, 0.500, 0.500)
P (0.000, 0.500, 0.000)
P (0.500, 0.000, 0.000)
S (0.000, 0.000, 0.500)